(1)
# MoRh2AuI

Crystalline MoRh2AuI at its relaxed geometry (PBE, Alexandria via LeMat-Bulk).

Its formation energy (no corrections) is 2.14 eV/atom.

It has space group P4/mmm (No. 123), with a = 4.908 Å, b = 4.908 Å, c = 5.139 Å, α = 90.00°, β = 90.00° and γ = 90.00°. The distinct sites, in fractional coordinates, are Mo at (0.000, 0.000, 0.000), Rh at (0.000, 0.500, 0.500), Au at (0.500, 0.500, 0.500) and I at (0.500, 0.500, 0.000).

***

(2)
# ScMo2AuI

Crystalline ScMo2AuI at its relaxed geometry (PBE, Alexandria via LeMat-Bulk).

Its formation energy (no corrections) is 1.33 eV/atom.

It has space group P4/mmm (No. 123), with a = 5.194 Å, b = 5.194 Å, c = 5.164 Å, α = 90.00°, β = 90.00° and γ = 90.00°. The distinct sites, in fractional coordinates, are Sc at (0.000, 0.000, 0.000), Mo at (0.000, 0.500, 0.500), Au at (0.000, 0.000, 0.500) and I at (0.500, 0.500, 0.000).

***

| no. | total DFT energy (no corrections) (eV/f.u.) | density of states at the Fermi level (states/eV/f.u.) |
| --- | --- | --- |
| 1 | -19.67 | 12.08 |
| 2 | -26.18 | 2.82 |